1.
Density functional theory data (GGA-PBEsol) for a geometry-optimized SrSeO4 structure.

a b c (Å): 6.8537 7.3471 8.6372
angles (deg): 90.00 126.89 90.00
Closest atoms and distances in Å follow each position.
Space group P2_1/c (No. 14)
One atom of each set of equivalent atoms:
Sr: 0.1806 0.1556 0.2798 x4  8 O 2.56-2.71
Se: 0.3071 0.6642 0.1930 x4  4 O 1.66-1.67
O: 0.1116 0.6614 0.6126 x4  1 Se 1.67
O: 0.1871 0.5024 0.2468 x4  1 Se 1.66
O: 0.3313 0.6090 0.0183 x4  1 Se 1.66
O: 0.4085 0.2148 0.1221 x4  1 Se 1.66

## Properties
The value obtained for the energy relative to the elements, uncorrected is -1.70 eV per atom.

***

2.
Density functional theory data (GGA-PBEsol) for a geometry-optimized SmCuO2 structure.

a b c (Å): 3.6395 3.6395 16.8902
angles (deg): 90.00 90.00 120.00
Closest atoms and distances in Å follow each position.
Space group R-3m (No. 166, hexagonal axes)
One atom of each set of equivalent atoms:
Sm: 0.0000 0.0000 0.0000 x3  6 O 2.34
Cu: 0.0000 0.0000 0.5000 x3  2 O 1.80
O: 0.0000 0.0000 0.3937 x6  1 Cu 1.80

## Properties
The value obtained for the energy relative to the elements, uncorrected is -2.29 eV per atom.